Compound: K4Ni7As6O24
Source: Alexandria via LeMat-Bulk
Functional: GGA+U
Structure: relaxed

Properties
uncorrected energy = -5.50 eV per atom
mass density = 4.283 g/cm³

abc: 11.1186 14.7383 6.8497
angles: 90.00 104.58 90.00
Space group Cm (No. 8)
Asymmetric unit:
K 0.0000 0.0000 0.0000 (multiplicity 2)
K 0.1306 0.5000 0.9383 (multiplicity 2)
K 0.3137 0.1150 0.9871 (multiplicity 4)
Ni 0.0313 0.3048 0.6375 (multiplicity 4)
Ni 0.1976 0.5000 0.4559 (multiplicity 2)
Ni 0.2019 0.1240 0.4658 (multiplicity 4)
Ni 0.3733 0.3116 0.2868 (multiplicity 4)
As 0.0084 0.0000 0.5011 (multiplicity 2)
As 0.1108 0.3044 0.1858 (multiplicity 4)
As 0.2939 0.3127 0.7339 (multiplicity 4)
As 0.3959 0.0000 0.4449 (multiplicity 2)
O 0.9998 0.2932 0.3215 (multiplicity 4)
O 0.0046 0.5000 0.3094 (multiplicity 2)
O 0.0151 0.0943 0.3501 (multiplicity 4)
O 0.0366 0.3255 0.9417 (multiplicity 4)
O 0.1550 0.0000 0.6668 (multiplicity 2)
O 0.1808 0.3961 0.6525 (multiplicity 4)
O 0.1925 0.2185 0.6867 (multiplicity 4)
O 0.2151 0.2135 0.2365 (multiplicity 4)
O 0.2165 0.3934 0.2635 (multiplicity 4)
O 0.2456 0.0000 0.2880 (multiplicity 2)
O 0.3650 0.3318 0.9799 (multiplicity 4)
O 0.3862 0.5000 0.6064 (multiplicity 2)
O 0.3924 0.0960 0.5912 (multiplicity 4)
O 0.4028 0.2980 0.5968 (multiplicity 4)

Compound: KNiAs2O8
Source: Alexandria via LeMat-Bulk
Functional: GGA+U
Structure: relaxed

Properties
uncorrected energy = -5.25 eV per atom
mass density = 3.235 g/cm³

abc: 5.6585 5.6585 6.9525
angles: 90.00 90.00 120.00
Space group P-3m1 (No. 164)
Asymmetric unit:
K 0.0000 0.0000 0.0000 (multiplicity 1)
Ni 0.0000 0.0000 0.5000 (multiplicity 1)
As 0.3333 0.6667 0.5992 (multiplicity 2)
O 0.1676 0.3352 0.6813 (multiplicity 6)
O 0.3333 0.6667 0.3458 (multiplicity 2)